Record 1
The following is a PBE calculation of RbAg2Pb2 after structural relaxation, from Alexandria via LeMat-Bulk.

a b c (Å): 5.0130 5.0130 12.4037
angles (deg): 90.00 90.00 90.00
Closest atoms and distances in Å follow each position.
Space group I4/mmm (No. 139)
Unique sites:
Rb 0.0000 0.0000 0.0000 (multiplicity 2)  8 Ag 3.83, 8 Pb 3.99
Ag 0.0000 0.0000 0.3839 (multiplicity 4)  1 Ag 2.88, 4 Pb 3.01
Pb 0.0000 0.5000 0.2500 (multiplicity 4)  4 Ag 3.01

Results
N(E_F)   6.0 states/eV per cell
Formation energy   0.0299 eV per atom
Energy above the lowest structure with this stoichiometry   0.026 eV/atom
Theoretical density   7.6 Mg/m³

---

Record 2
The following is a PBE calculation of CaIn2Pb after structural relaxation, from Alexandria via LeMat-Bulk.

a b c (Å): 8.7879 8.7879 6.3947
angles (deg): 90.00 90.00 90.00
Closest atoms and distances in Å follow each position.
Space group I-42d (No. 122)
Unique sites:
Ca 0.0000 0.0000 0.0000 (multiplicity 4)  2 Pb 3.20, 4 In 3.37
In 0.2241 0.7500 0.6250 (multiplicity 8)  2 Pb 3.06, 2 In 3.23, 2 Ca 3.37
Pb 0.0000 0.0000 0.5000 (multiplicity 4)  4 In 3.06, 2 Ca 3.20

Results
N(E_F)   11.6 states/eV per cell
Formation energy   -0.1340 eV per atom
Theoretical density   6.4 Mg/m³

---

Record 3
The following is a PBE calculation of Mg3Sc4Be after structural relaxation, from Alexandria via LeMat-Bulk.

a b c (Å): 3.2237 3.2237 16.5259
angles (deg): 90.00 90.00 90.00
Closest atoms and distances in Å follow each position.
Space group P4/mmm (No. 123)
Unique sites:
Mg 0.0000 0.0000 0.0000 (multiplicity 1)  8 Sc 3.21, 4 Mg 3.22
Mg 0.0000 0.0000 0.2710 (multiplicity 2)  8 Sc 3.18-3.22, 4 Mg 3.22
Sc 0.5000 0.5000 0.1368 (multiplicity 2)  8 Mg 3.18-3.21, 4 Sc 3.22
Sc 0.5000 0.5000 0.4087 (multiplicity 2)  4 Be 2.73, 1 Sc 3.02
Be 0.0000 0.0000 0.5000 (multiplicity 1)  8 Sc 2.73

Results
N(E_F)   8.1 states/eV per cell
Formation energy   -0.0366 eV per atom
Theoretical density   2.5 Mg/m³

---

Record 4
The following is a PBE calculation of MnInSn after structural relaxation, from Alexandria via LeMat-Bulk.

a b c (Å): 6.2613 6.3169 12.9809
angles (deg): 90.00 90.00 90.00
Closest atoms and distances in Å follow each position.
Space group Fmmm (No. 69)
Unique sites:
Mn 0.2500 0.2500 0.0000 (multiplicity 8)  4 Sn 2.84, 4 In 2.86, 4 Mn 3.13-3.16
In 0.0000 0.0000 0.1391 (multiplicity 8)  4 Mn 2.86, 5 Sn 2.92-3.16
Sn 0.0000 0.0000 0.3639 (multiplicity 8)  4 Mn 2.84, 5 In 2.92-3.16

Results
N(E_F)   14.4 states/eV per cell
Formation energy   0.0913 eV per atom
Theoretical density   7.5 Mg/m³

---

Record 5
The following is a PBE calculation of CsHf3Nb after structural relaxation, from Alexandria via LeMat-Bulk.

a b c (Å): 5.3277 5.3277 5.3277
angles (deg): 90.00 90.00 90.00
Closest atoms and distances in Å follow each position.
Space group Pm-3m (No. 221)
Unique sites:
Cs 0.0000 0.0000 0.0000 (multiplicity 1)  12 Hf 3.77
Hf 0.0000 0.5000 0.5000 (multiplicity 3)  2 Nb 2.66
Nb 0.5000 0.5000 0.5000 (multiplicity 1)  6 Hf 2.66

Results
N(E_F)   8.9 states/eV per cell
Formation energy   1.1978 eV per atom
Energy above the lowest structure with this stoichiometry   0.000 eV/atom
Theoretical density   8.4 Mg/m³

---

Record 6
The following is a PBE calculation of InHgRu2 after structural relaxation, from Alexandria via LeMat-Bulk.

a b c (Å): 4.3868 3.0480 10.7429
angles (deg): 90.00 90.00 90.00
Closest atoms and distances in Å follow each position.
Space group Amm2 (No. 38)
Unique sites:
In 0.0000 0.0000 0.0000 (multiplicity 2)  7 Ru 2.86-2.95, 2 In 3.05, 4 Hg 3.14
Hg 0.5000 0.0000 0.3464 (multiplicity 2)  7 Ru 2.89-2.97, 2 Hg 3.05, 4 In 3.14
Ru 0.0000 0.0000 0.7252 (multiplicity 2)  2 Ru 2.48
Ru 0.5000 0.0000 0.6173 (multiplicity 2)  2 Ru 2.48

Results
N(E_F)   8.8 states/eV per cell
Formation energy   0.4199 eV per atom
Energy above the lowest structure with this stoichiometry   0.192 eV/atom
Theoretical density   12.0 Mg/m³

---

Record 7
The following is a PBE calculation of TbHo3Tm7 after structural relaxation, from Alexandria via LeMat-Bulk.

a b c (Å): 6.8394 5.4362 9.7964
angles (deg): 90.00 109.75 90.00
Closest atoms and distances in Å follow each position.
Space group P2/m (No. 10)
Unique sites:
Tb 0.0000 0.0000 0.0000 (multiplicity 1)  2 Ho 3.42, 10 Tm 3.47-3.75
Ho 0.2774 0.5000 0.4967 (multiplicity 2)  1 Ho 3.02, 4 Tm 3.28-3.32
Ho 0.5000 0.0000 0.0000 (multiplicity 1)  2 Tb 3.42, 10 Tm 3.46-3.74
Tm 0.0000 0.0000 0.5000 (multiplicity 1)  4 Ho 3.32
Tm 0.1493 0.5000 0.7906 (multiplicity 2)  3 Tm 3.23-3.49, 2 Ho 3.28-3.30
Tm 0.3199 0.5000 0.1410 (multiplicity 2)  5 Tm 3.23-3.49, 3 Ho 3.46-3.59, 2 Tb 3.47
Tm 0.4224 0.0000 0.3312 (multiplicity 2)  3 Tm 3.11-3.24, 5 Ho 3.46-3.48

Results
N(E_F)   19.0 states/eV per cell
Formation energy   0.1619 eV per atom
Energy above the lowest structure with this stoichiometry   0.000 eV/atom
Theoretical density   8.9 Mg/m³

---

Record 8
The following is a PBE calculation of LiMgRe after structural relaxation, from Alexandria via LeMat-Bulk.

a b c (Å): 2.8769 2.8769 14.4307
angles (deg): 90.00 90.00 120.00
Closest atoms and distances in Å follow each position.
Space group P-3m1 (No. 164)
Unique sites:
Li 0.3333 0.6667 0.4137 (multiplicity 2)  9 Li 2.88-2.99, 3 Mg 3.05
Mg 0.0000 0.0000 0.2360 (multiplicity 2)  6 Mg 2.88, 3 Re 2.90, 3 Li 3.05
Re 0.3333 0.6667 0.9290 (multiplicity 2)  9 Re 2.64-2.88, 3 Mg 2.90

Results
N(E_F)   2.6 states/eV per cell
Formation energy   0.0974 eV per atom
Energy above the lowest structure with this stoichiometry   0.044 eV/atom
Theoretical density   7.0 Mg/m³

---

Record 9
The following is a PBE calculation of TiIn3F after structural relaxation, from Alexandria via LeMat-Bulk.

a b c (Å): 4.7510 4.7510 4.7510
angles (deg): 90.00 90.00 90.00
Closest atoms and distances in Å follow each position.
Space group Pm-3m (No. 221)
Unique sites:
Ti 0.0000 0.0000 0.0000 (multiplicity 1)  12 In 3.36
In 0.0000 0.5000 0.5000 (multiplicity 3)  2 F 2.38
F 0.5000 0.5000 0.5000 (multiplicity 1)  6 In 2.38

Results
N(E_F)   1.6 states/eV per cell
Energy above the lowest structure with this stoichiometry   0.000 eV/atom
Theoretical density   6.4 Mg/m³
Formation energy without anion corrections   -0.28 eV per atom

---

Record 10
The following is a PBE calculation of CdC3S after structural relaxation, from Alexandria via LeMat-Bulk.

a b c (Å): 4.3207 4.3207 4.3207
angles (deg): 90.00 90.00 90.00
Closest atoms and distances in Å follow each position.
Space group Pm-3m (No. 221)
Unique sites:
Cd 0.0000 0.0000 0.0000 (multiplicity 1)  6 C 2.16
C 0.0000 0.0000 0.5000 (multiplicity 3)  2 Cd 2.16
S 0.5000 0.5000 0.5000 (multiplicity 1)  12 C 3.06

Results
N(E_F)   3.8 states/eV per cell
Energy above the lowest structure with this stoichiometry   1.063 eV/atom
Theoretical density   3.7 Mg/m³
Formation energy without anion corrections   3.62 eV per atom

---

Record 11
The following is a PBE calculation of CsRbMn3 after structural relaxation, from Alexandria via LeMat-Bulk.

a b c (Å): 6.1523 6.1523 6.1523
angles (deg): 90.00 90.00 90.00
Closest atoms and distances in Å follow each position.
Space group Pm-3m (No. 221)
Unique sites:
Cs 0.0000 0.0000 0.0000 (multiplicity 1)  6 Mn 3.08
Rb 0.5000 0.5000 0.5000 (multiplicity 1)  12 Mn 4.35
Mn 0.0000 0.0000 0.5000 (multiplicity 3)  2 Cs 3.08

Results
N(E_F)   16.8 states/eV per cell
Formation energy   1.9117 eV per atom
Theoretical density   2.7 Mg/m³

---

Record 12
The following is a PBE calculation of NaSmTlZn after structural relaxation, from Alexandria via LeMat-Bulk.

a b c (Å): 7.3807 7.3807 7.3807
angles (deg): 90.00 90.00 90.00
Closest atoms and distances in Å follow each position.
Space group F-43m (No. 216)
Unique sites:
Na 0.0000 0.0000 0.0000 (multiplicity 4)  4 Tl 3.20, 4 Zn 3.20
Sm 0.0000 0.0000 0.5000 (multiplicity 4)  4 Tl 3.20, 4 Zn 3.20
Tl 0.2500 0.2500 0.2500 (multiplicity 4)  4 Na 3.20, 4 Sm 3.20
Zn 0.2500 0.2500 0.7500 (multiplicity 4)  4 Na 3.20, 4 Sm 3.20

Results
N(E_F)   8.4 states/eV per cell
Formation energy   -0.1734 eV per atom
Theoretical density   7.3 Mg/m³